# 1
# Ca2Cd2In | Alexandria | PBE-GGA | relaxed
data_Ca2Cd2In
_cell_length_a 8.8177
_cell_length_b 8.8177
_cell_length_c 3.8594
_cell_angle_alpha 90.00
_cell_angle_beta 90.00
_cell_angle_gamma 90.00
_symmetry_space_group_name_H-M 'P 4/m b m'
_symmetry_Int_Tables_number 127
_symmetry_space_group_name_Hall '-P 4 2ab'
loop_
_atom_site_label
_atom_site_type_symbol
_atom_site_fract_x
_atom_site_fract_y
_atom_site_fract_z
Ca1 Ca 0.1564 0.3436 0.0000
Cd1 Cd 0.1385 0.6385 0.5000
In1 In 0.0000 0.0000 0.0000
# Crystal system = tetragonal
# Calculated total energy = -1.878 eV/atom
# Formation enthalpy at 0 K = -0.818 eV/f.u.
# Offset from the most stable computed form = 181.1 meV/atom

***

# 2
# KCr2Fe | Alexandria | PBE-GGA | relaxed
data_KCr2Fe
_cell_length_a 4.7277
_cell_length_b 4.7277
_cell_length_c 15.1960
_cell_angle_alpha 90.00
_cell_angle_beta 90.00
_cell_angle_gamma 90.00
_symmetry_space_group_name_H-M 'I 41/a m d'
_symmetry_Int_Tables_number 141
loop_
_symmetry_equiv_pos_as_xyz
'x,y,z'
'-x,-y,-z'
'-y+1/4,x+3/4,z+1/4'
'y+1/4,-x+3/4,-z+1/4'
'-x+1/2,-y,z+1/2'
'x+1/2,y,-z+1/2'
'y+1/4,-x+1/4,z+3/4'
'-y+1/4,x+1/4,-z+3/4'
'x,-y,-z'
'-x,y,z'
'-y+1/4,-x+1/4,-z+3/4'
'y+1/4,x+1/4,z+3/4'
'-x+1/2,y,-z+1/2'
'x+1/2,-y,z+1/2'
'y+1/4,x+3/4,-z+1/4'
'-y+1/4,-x+3/4,z+1/4'
'x+1/2,y+1/2,z+1/2'
'-x+1/2,-y+1/2,-z+1/2'
'-y+3/4,x+1/4,z+3/4'
'y+3/4,-x+1/4,-z+3/4'
'-x,-y+1/2,z'
'x,y+1/2,-z'
'y+3/4,-x+3/4,z+1/4'
'-y+3/4,x+3/4,-z+1/4'
'x+1/2,-y+1/2,-z+1/2'
'-x+1/2,y+1/2,z+1/2'
'-y+3/4,-x+3/4,-z+1/4'
'y+3/4,x+3/4,z+1/4'
'-x,y+1/2,-z'
'x,-y+1/2,z'
'y+3/4,x+1/4,-z+3/4'
'-y+3/4,-x+1/4,z+3/4'
loop_
_atom_site_label
_atom_site_type_symbol
_atom_site_fract_x
_atom_site_fract_y
_atom_site_fract_z
K1 K 0.0000 0.2500 0.3750
Cr1 Cr 0.0000 0.0000 0.0000
Fe1 Fe 0.0000 0.2500 0.8750
# Crystal system = tetragonal
# Calculated total energy = -5.489 eV/atom
# Formation enthalpy at 0 K = 6.850 eV/f.u.
# Offset from the most stable computed form = 939.1 meV/atom

***

# 3
# Sr3TlCu4Cl12 | Alexandria | PBE-GGA | relaxed
data_Sr3TlCu4Cl12
_cell_length_a 14.3352
_cell_length_b 14.3352
_cell_length_c 11.0110
_cell_angle_alpha 90.00
_cell_angle_beta 90.00
_cell_angle_gamma 120.00
_symmetry_space_group_name_H-M 'R 3 2'
_symmetry_Int_Tables_number 155
_symmetry_space_group_name_Hall 'R 3 2"'
loop_
_atom_site_label
_atom_site_type_symbol
_atom_site_fract_x
_atom_site_fract_y
_atom_site_fract_z
Sr1 Sr 0.0000 0.5522 0.0000
Tl1 Tl 0.0000 0.0000 0.0000
Cu1 Cu 0.0000 0.0000 0.5000
Cu2 Cu 0.0000 0.4369 0.5000
Cl1 Cl 0.0000 0.5975 0.5000
Cl2 Cl 0.0000 0.8452 0.5000
Cl3 Cl 0.0315 0.1993 0.1854
# Crystal system = trigonal
# Calculated total energy = -3.695 eV/atom
# Uncorrected formation energy = -1.398 eV per atom

***

# 4
# Mg8ZnPd5 | Alexandria | PBE-GGA | relaxed
data_Mg8ZnPd5
_cell_length_a 7.8800
_cell_length_b 7.8800
_cell_length_c 8.1591
_cell_angle_alpha 90.00
_cell_angle_beta 90.00
_cell_angle_gamma 90.00
_symmetry_space_group_name_H-M 'I -4'
_symmetry_Int_Tables_number 82
loop_
_symmetry_equiv_pos_as_xyz
'x,y,z'
'y,-x,-z'
'-x,-y,z'
'-y,x,-z'
'x+1/2,y+1/2,z+1/2'
'y+1/2,-x+1/2,-z+1/2'
'-x+1/2,-y+1/2,z+1/2'
'-y+1/2,x+1/2,-z+1/2'
loop_
_atom_site_label
_atom_site_type_symbol
_atom_site_fract_x
_atom_site_fract_y
_atom_site_fract_z
Mg1 Mg 0.0716 0.1745 0.3303
Mg2 Mg 0.0842 0.3289 0.9778
Zn1 Zn 0.0000 0.0000 0.0000
Pd1 Pd 0.0000 0.5000 0.2500
Pd2 Pd 0.1233 0.2742 0.6580
# Crystal system = tetragonal
# Calculated total energy = -3.303 eV/atom
# Formation enthalpy at 0 K = -6.245 eV/f.u.